A geometry-optimized PrNdPd10 structure. Source: Alexandria via LeMat-Bulk, functional PBE-GGA.

abc: 4.4977 5.3710 9.2882
angles: 90.00 90.00 90.00
Closest atoms and distances in Å follow each position.
Space group Pmmm (No. 47)
Unique sites:
Pr 0.0000 0.0000 0.0000 x1  6 Pd 3.10-3.11
Nd 0.0000 0.5000 0.5000 x1  6 Pd 3.09-3.10
Pd 0.0000 0.0000 0.3343 x2  6 Pd 2.72-2.73
Pd 0.0000 0.5000 0.1673 x2  6 Pd 2.73
Pd 0.5000 0.0000 0.5000 x1  8 Pd 2.68-2.72
Pd 0.5000 0.2501 0.2504 x4  8 Pd 2.68-2.73
Pd 0.5000 0.5000 0.0000 x1  8 Pd 2.69-2.73

Values from the calculation:
The calculation puts the total energy at -5.644 eV/atom.



A geometry-optimized PrNd5Pd2 structure. Source: Alexandria via LeMat-Bulk, functional PBE-GGA.

abc: 3.9818 12.7971 19.0853
angles: 90.00 90.00 90.00
Closest atoms and distances in Å follow each position.
Space group Cmcm (No. 63)
Unique sites:
Pr 0.0000 0.1358 0.2500 x4  4 Pd 3.27, 3 Nd 3.42-3.58
Nd 0.0000 0.1316 0.7500 x4  2 Pd 2.87
Nd 0.0000 0.1466 0.0391 x8  2 Pd 2.87
Nd 0.0000 0.4387 0.1118 x8  2 Pd 3.32, 6 Nd 3.42-3.67
Pd 0.0000 0.2670 0.6304 x8  3 Nd 2.87

Values from the calculation:
The calculation puts the total energy at -5.190 eV/atom.



A geometry-optimized PrNdPd2 structure. Source: Alexandria via LeMat-Bulk, functional PBE-GGA.

abc: 4.6461 3.9254 10.9321
angles: 90.00 90.00 90.00
Closest atoms and distances in Å follow each position.
Space group Amm2 (No. 38)
Unique sites:
Pr 0.0000 0.0000 0.0000 x2  7 Pd 3.03-3.13
Nd 0.5000 0.0000 0.7269 x2  7 Pd 3.05-3.11
Pd 0.0000 0.0000 0.2774 x2  2 Pd 2.98, 3 Pr 3.03-3.13, 4 Nd 3.09
Pd 0.5000 0.0000 0.4481 x2  2 Pd 2.98, 3 Nd 3.05-3.11, 4 Pr 3.09

Values from the calculation:
The value obtained for the excess energy over the best structure of this formula in the dataset is 0 kJ/mol of formula units.



A geometry-optimized PrNdPd2 structure. Source: Alexandria via LeMat-Bulk, functional PBE-GGA.

abc: 4.1567 4.1567 21.6198
angles: 90.00 90.00 120.00
Closest atoms and distances in Å follow each position.
Space group R3m (No. 160, hexagonal axes)
Unique sites:
Pr 0.0000 0.0000 0.0000 x3  6 Pd 2.96-3.03
Nd 0.0000 0.0000 0.1724 x3  6 Pd 2.97-3.05
Pd 0.0000 0.0000 0.5863 x3  3 Pr 2.96, 3 Nd 2.97
Pd 0.0000 0.0000 0.7522 x3  3 Pr 3.03, 3 Nd 3.05

Values from the calculation:
The value obtained for the excess energy over the best structure of this formula in the dataset is 67 kJ/mol of formula units.



A geometry-optimized Pr3Nd3Pd4 structure. Source: Alexandria via LeMat-Bulk, functional PBE-GGA.

abc: 4.0136 11.4797 11.5300
angles: 90.00 90.00 90.00
Closest atoms and distances in Å follow each position.
Space group Amm2 (No. 38)
Unique sites:
Pr 0.0000 0.0000 0.0000 x2  6 Pd 3.14
Pr 0.5000 0.2499 0.0839 x4  4 Pd 3.19-3.24
Nd 0.0000 0.0000 0.6657 x2  6 Pd 3.11-3.13
Nd 0.0000 0.1672 0.3340 x4  6 Pd 3.11-3.13
Pd 0.5000 0.0000 0.2089 x2  1 Pd 2.89, 4 Nd 3.13, 4 Pr 3.14-3.21
Pd 0.5000 0.0000 0.4597 x2  1 Pd 2.89, 6 Nd 3.11-3.13, 2 Pr 3.21
Pd 0.5000 0.1262 0.8318 x4  1 Pd 2.90, 4 Nd 3.11-3.13, 4 Pr 3.14-3.24

Values from the calculation:
The calculation puts the total energy at -5.560 eV/atom.



A geometry-optimized PrNdPd structure. Source: Alexandria via LeMat-Bulk, functional PBE-GGA.

abc: 3.7045 6.7419 7.4080
angles: 74.05 89.93 74.06
Closest atoms and distances in Å follow each position.
Space group P-1 (No. 2)
Unique sites:
Pr 0.1384 0.2235 0.0686 x2  4 Pd 3.17-3.18, 1 Pr 3.44
Nd 0.1402 0.2191 0.5710 x2  4 Pd 3.10-3.11
Pd 0.4991 0.5014 0.7396 x2  4 Nd 3.10-3.11, 4 Pr 3.17-3.18

Values from the calculation:
The value obtained for the excess energy over the best structure of this formula in the dataset is 7 kJ/mol of formula units.



A geometry-optimized Pr4Nd3Pd4 structure. Source: Alexandria via LeMat-Bulk, functional PBE-GGA.

abc: 4.9261 7.7461 16.0701
angles: 90.00 90.00 90.00
Closest atoms and distances in Å follow each position.
Space group Immm (No. 71)
Unique sites:
Pr 0.0000 0.2217 0.1693 x8  4 Pd 2.82-3.04
Nd 0.0000 0.0000 0.4013 x4  1 Nd 3.17, 4 Pd 3.25, 4 Pr 3.46
Nd 0.0000 0.5000 0.5000 x2  6 Pd 3.22-3.49
Pd 0.0000 0.3190 0.0000 x4  1 Pd 2.80, 2 Pr 2.82
Pd 0.0000 0.5000 0.2998 x4  6 Pr 3.01-3.04, 1 Nd 3.22

Values from the calculation:
The calculation puts the total energy at -5.397 eV/atom.



A geometry-optimized PrNdPd structure. Source: Alexandria via LeMat-Bulk, functional PBE-GGA.

abc: 7.7021 7.7021 4.9694
angles: 90.00 90.00 120.00
Closest atoms and distances in Å follow each position.
Space group P-62m (No. 189)
Unique sites:
Pr 0.0000 0.7345 0.0000 x3  2 Pd 2.86
Nd 0.0000 0.4028 0.5000 x3  5 Pd 3.10-3.42
Pd 0.0000 0.0000 0.5000 x1  3 Nd 3.10, 6 Pr 3.22
Pd 0.3333 0.6667 0.0000 x2  3 Pr 2.86

Values from the calculation:
The value obtained for the excess energy over the best structure of this formula in the dataset is 0 kJ/mol of formula units.



A geometry-optimized Pr2Nd2Pd3 structure. Source: Alexandria via LeMat-Bulk, functional PBE-GGA.

abc: 4.2495 7.1585 7.3204
angles: 99.23 90.05 107.17
Closest atoms and distances in Å follow each position.
Space group P-1 (No. 2)
Unique sites:
Pr 0.1294 0.2549 0.3710 x2  4 Pd 2.94-2.97
Nd 0.3726 0.7441 0.1133 x2  5 Pd 2.94-2.98
Pd 0.0000 0.0000 0.0000 x1  4 Nd 2.96, 2 Pr 2.97
Pd 0.2466 0.4959 0.7447 x2  3 Pr 2.94-2.95, 3 Nd 2.94-2.98

Values from the calculation:
The calculation puts the total energy at -5.501 eV/atom.



A geometry-optimized PrNdPd2 structure. Source: Alexandria via LeMat-Bulk, functional PBE-GGA.

abc: 5.1895 5.1895 3.5684
angles: 90.00 90.00 90.00
Closest atoms and distances in Å follow each position.
Space group P4/mmm (No. 123)
Unique sites:
Pr 0.0000 0.0000 0.0000 x1  8 Pd 3.15
Nd 0.5000 0.5000 0.0000 x1  8 Pd 3.15
Pd 0.0000 0.5000 0.5000 x2  4 Pr 3.15, 4 Nd 3.15

Values from the calculation:
The value obtained for the excess energy over the best structure of this formula in the dataset is 28 kJ/mol of formula units.



A geometry-optimized Pr3NdPd structure. Source: Alexandria via LeMat-Bulk, functional PBE-GGA.

abc: 8.5266 7.1739 10.7652
angles: 90.00 107.76 90.00
Closest atoms and distances in Å follow each position.
Space group P2_1/c (No. 14)
Unique sites:
Pr 0.0402 0.2265 0.0116 x4  1 Pd 3.08, 1 Pr 3.32, 1 Nd 3.41
Pr 0.2659 0.5020 0.8624 x4  2 Pd 3.00-3.07
Pr 0.4167 0.6426 0.6081 x4  3 Pd 2.99-3.17
Nd 0.1881 0.5190 0.2705 x4  8 Pr 3.41-3.78, 2 Pd 3.51-3.71
Pd 0.4167 0.2266 0.6028 x4  6 Pr 2.99-3.17

Values from the calculation:
The value obtained for the excess energy over the best structure of this formula in the dataset is 27 kJ/mol of formula units.



A geometry-optimized Pr3Nd5Pd2 structure. Source: Alexandria via LeMat-Bulk, functional PBE-GGA.

abc: 12.1400 15.0981 7.1431
angles: 90.00 90.00 90.00
Closest atoms and distances in Å follow each position.
Space group Ibam (No. 72)
Unique sites:
Pr 0.0000 0.0000 0.2500 x4  4 Pd 3.01
Pr 0.2211 0.1661 0.0000 x8  2 Pd 3.56-3.76, 8 Nd 3.67-3.91
Nd 0.0000 0.2828 0.2500 x8  2 Pd 2.83
Nd 0.0000 0.5000 0.2500 x4  8 Nd 3.28-3.57
Nd 0.2166 0.4234 0.0000 x8  1 Pd 2.80
Pd 0.0712 0.1495 0.5000 x8  3 Nd 2.80-2.83, 2 Pr 3.01

Values from the calculation:
The calculation puts the total energy at -5.003 eV/atom.



A geometry-optimized PrNdPd structure. Source: Alexandria via LeMat-Bulk, functional PBE-GGA.

abc: 3.7032 3.7032 12.4280
angles: 90.00 90.00 90.00
Closest atoms and distances in Å follow each position.
Space group I4mm (No. 107)
Unique sites:
Pr 0.0000 0.0000 0.0000 x2  4 Pd 3.17, 1 Nd 3.46
Nd 0.0000 0.0000 0.7212 x2  4 Pd 3.11, 1 Pr 3.46
Pd 0.0000 0.0000 0.3568 x2  4 Nd 3.11, 4 Pr 3.17

Values from the calculation:
The value obtained for the excess energy over the best structure of this formula in the dataset is 7 kJ/mol of formula units.



A geometry-optimized Pr4Nd3Pd2 structure. Source: Alexandria via LeMat-Bulk, functional PBE-GGA.

abc: 17.3160 3.8829 9.3763
angles: 90.00 112.93 90.00
Closest atoms and distances in Å follow each position.
Space group C2/m (No. 12)
Unique sites:
Pr 0.1301 0.0000 0.3840 x4  5 Pr 3.75-3.97, 6 Nd 3.82-3.94, 2 Pd 4.04-4.18
Pr 0.2327 0.5000 0.1639 x4  3 Pd 2.97-3.14
Nd 0.0000 0.5000 0.0000 x2  4 Pd 2.99
Nd 0.0720 0.5000 0.6783 x4  2 Pd 3.01, 1 Nd 3.30
Pd 0.1167 0.0000 0.9440 x4  3 Pr 2.97-3.14, 4 Nd 2.99-3.01

Values from the calculation:
The calculation puts the total energy at -5.160 eV/atom.



A geometry-optimized PrNd2Pd3 structure. Source: Alexandria via LeMat-Bulk, functional PBE-GGA.

abc: 7.4191 10.8043 8.9643
angles: 90.00 90.00 90.00
Closest atoms and distances in Å follow each position.
Space group Imma (No. 74)
Unique sites:
Pr 0.0000 0.2500 0.0280 x4  6 Pd 3.05-3.11
Nd 0.0000 0.0440 0.6983 x8  6 Pd 2.93-3.08
Pd 0.1890 0.0000 0.0000 x8  1 Pd 2.80, 4 Nd 2.95-3.08, 2 Pr 3.05
Pd 0.2500 0.2500 0.7500 x4  4 Nd 2.93, 2 Pr 3.11

Values from the calculation:
The calculation puts the total energy at -5.475 eV/atom.



A geometry-optimized Pr2Nd5Pd4 structure. Source: Alexandria via LeMat-Bulk, functional PBE-GGA.

abc: 25.5713 3.6962 6.9925
angles: 90.00 92.16 90.00
Closest atoms and distances in Å follow each position.
Space group C2/m (No. 12)
Unique sites:
Pr 0.0918 0.0000 0.1646 x4  4 Pd 2.92-3.07
Nd 0.0000 0.5000 0.5000 x2  4 Pd 2.93
Nd 0.1334 0.0000 0.6763 x4  3 Pd 2.97-2.98
Nd 0.2331 0.0000 0.2484 x4  3 Pd 2.96-3.00
Pd 0.0253 0.0000 0.8159 x4  2 Pr 2.92-3.00, 1 Pd 2.93, 3 Nd 2.93-2.97
Pd 0.1723 0.5000 0.9843 x4  5 Nd 2.96-3.00, 2 Pr 3.07

Values from the calculation:
The calculation puts the total energy at -5.256 eV/atom.



A geometry-optimized PrNdPdRh structure. Source: Alexandria via LeMat-Bulk, functional PBE-GGA.

abc: 7.1831 7.1831 7.1831
angles: 90.00 90.00 90.00
Closest atoms and distances in Å follow each position.
Space group F-43m (No. 216)
Unique sites:
Pr 0.0000 0.0000 0.0000 x4  4 Rh 3.11, 4 Pd 3.11
Nd 0.0000 0.0000 0.5000 x4  4 Rh 3.11, 4 Pd 3.11
Pd 0.2500 0.2500 0.7500 x4  4 Pr 3.11, 4 Nd 3.11
Rh 0.2500 0.2500 0.2500 x4  4 Pr 3.11, 4 Nd 3.11

Values from the calculation:
The value obtained for the excess energy over the best structure of this formula in the dataset is 21 kJ/mol of formula units.



A geometry-optimized PrNdPdRh structure. Source: Alexandria via LeMat-Bulk, functional PBE-GGA.

abc: 4.5180 3.9043 10.8895
angles: 90.00 90.00 90.00
Closest atoms and distances in Å follow each position.
Space group Amm2 (No. 38)
Unique sites:
Pr 0.0000 0.0000 0.0000 x2  3 Rh 2.93-3.18, 4 Pd 3.05
Nd 0.5000 0.0000 0.7234 x2  4 Rh 3.03, 3 Pd 3.05-3.09
Pd 0.5000 0.0000 0.4431 x2  2 Rh 2.95, 4 Pr 3.05, 3 Nd 3.05-3.09
Rh 0.0000 0.0000 0.2694 x2  3 Pr 2.93-3.18, 2 Pd 2.95, 4 Nd 3.03

Values from the calculation:
The value obtained for the excess energy over the best structure of this formula in the dataset is 0 kJ/mol of formula units.



A geometry-optimized PrNdSi2Pd2 structure. Source: Alexandria via LeMat-Bulk, functional PBE-GGA.

abc: 4.2249 4.2249 8.4727
angles: 90.00 90.00 120.00
Closest atoms and distances in Å follow each position.
Space group P-3m1 (No. 164)
Unique sites:
Pr 0.0000 0.0000 0.0000 x1  6 Si 3.24, 6 Pd 3.25
Nd 0.0000 0.0000 0.5000 x1  6 Pd 3.21, 6 Si 3.23
Si 0.3333 0.6667 0.2510 x2  3 Pd 2.44
Pd 0.3333 0.6667 0.7469 x2  3 Si 2.44

Values from the calculation:
The calculation puts the total energy at -6.021 eV/atom.



A geometry-optimized PrNdSnPd structure. Source: Alexandria via LeMat-Bulk, functional PBE-GGA.

abc: 7.5660 7.5660 7.5660
angles: 90.00 90.00 90.00
Closest atoms and distances in Å follow each position.
Space group F-43m (No. 216)
Unique sites:
Pr 0.0000 0.0000 0.0000 x4  4 Sn 3.28, 4 Pd 3.28
Nd 0.0000 0.0000 0.5000 x4  4 Pd 3.28, 4 Sn 3.28
Sn 0.2500 0.2500 0.2500 x4  4 Pr 3.28, 4 Nd 3.28
Pd 0.2500 0.2500 0.7500 x4  4 Pr 3.28, 4 Nd 3.28

Values from the calculation:
The calculation puts the total energy at -5.357 eV/atom.



A geometry-optimized PrNdSn2Pd5 structure. Source: Alexandria via LeMat-Bulk, functional PBE-GGA.

abc: 4.5035 4.5035 9.3869
angles: 90.00 90.00 90.00
Closest atoms and distances in Å follow each position.
Space group P4/mmm (No. 123)
Unique sites:
Pr 0.0000 0.0000 0.0000 x1  12 Pd 2.98-3.18
Nd 0.0000 0.0000 0.5000 x1  8 Sn 3.48, 8 Pd 3.54
Sn 0.5000 0.5000 0.3514 x2  4 Pd 2.62, 1 Sn 2.79
Pd 0.0000 0.5000 0.2084 x4  2 Sn 2.62
Pd 0.5000 0.5000 0.0000 x1  8 Pd 2.98, 4 Pr 3.18, 2 Sn 3.30

Values from the calculation:
The calculation puts the total energy at -5.540 eV/atom.



A geometry-optimized PrNdTlPd structure. Source: Alexandria via LeMat-Bulk, functional PBE-GGA.

abc: 7.5867 7.5867 7.5867
angles: 90.00 90.00 90.00
Closest atoms and distances in Å follow each position.
Space group F-43m (No. 216)
Unique sites:
Pr 0.0000 0.0000 0.0000 x4  4 Tl 3.29, 4 Pd 3.29
Nd 0.0000 0.0000 0.5000 x4  4 Tl 3.29, 4 Pd 3.29
Tl 0.2500 0.2500 0.7500 x4  4 Pr 3.29, 4 Nd 3.29
Pd 0.2500 0.2500 0.2500 x4  4 Pr 3.29, 4 Nd 3.29

Values from the calculation:
The calculation puts the total energy at -4.742 eV/atom.



A geometry-optimized PrNdZnPd structure. Source: Alexandria via LeMat-Bulk, functional PBE-GGA.

abc: 7.3427 7.3427 7.3427
angles: 90.00 90.00 90.00
Closest atoms and distances in Å follow each position.
Space group F-43m (No. 216)
Unique sites:
Pr 0.0000 0.0000 0.0000 x4  4 Zn 3.18, 4 Pd 3.18
Nd 0.0000 0.0000 0.5000 x4  4 Pd 3.18, 4 Zn 3.18
Zn 0.2500 0.2500 0.2500 x4  4 Pr 3.18, 4 Nd 3.18
Pd 0.2500 0.2500 0.7500 x4  4 Pr 3.18, 4 Nd 3.18

Values from the calculation:
The value obtained for the excess energy over the best structure of this formula in the dataset is 15 kJ/mol of formula units.



A geometry-optimized PrNdZnPd structure. Source: Alexandria via LeMat-Bulk, functional PBE-GGA.

abc: 4.5964 3.9709 11.2009
angles: 90.00 90.00 90.00
Closest atoms and distances in Å follow each position.
Space group Amm2 (No. 38)
Unique sites:
Pr 0.0000 0.0000 0.0000 x2  3 Pd 3.08-3.25, 4 Zn 3.13
Nd 0.5000 0.0000 0.2814 x2  3 Zn 3.11-3.20, 4 Pd 3.14
Zn 0.5000 0.0000 0.5674 x2  2 Pd 2.80, 2 Nd 3.11, 4 Pr 3.13
Pd 0.0000 0.0000 0.7102 x2  2 Zn 2.80, 2 Pr 3.08

Values from the calculation:
The value obtained for the excess energy over the best structure of this formula in the dataset is 0 kJ/mol of formula units.